(1)
Rb2ReSn, relaxed, DFT PBE; calculated formation energy = 1.029 eV/atom; energy = -28.54 eV/cell
1.0
-6.439 -11.414 3.253
10.672 -7.187 -4.096
3.113 -9.182 1.966
Rb Sn Re
4 2 2
direct
0.375 0.180 0.750
0.875 0.070 0.750
0.820 0.125 0.250
0.930 0.625 0.250
0.500 0.500 0.000
0.250 0.750 0.500
0.000 0.000 0.000
0.750 0.250 0.500



(2)
RbSrRe2Sn, relaxed, DFT PBE; calculated formation energy = 2.764 eV/atom; energy = -17.73 eV/cell
1.0
-0.498 -1.032 4.896
-4.602 -3.197 -1.141
2.943 -4.040 -0.552
Re Sr Sn Rb
2 1 1 1
direct
0.000 0.000 0.500
0.500 0.000 0.000
0.500 0.500 0.500
0.000 0.500 0.000
0.000 0.000 0.000



(3)
RbTaRe2Sn, relaxed, DFT PBE; calculated formation energy = 2.912 eV/atom; energy = -27.16 eV/cell
1.0
4.965 0.000 0.000
0.000 5.293 0.000
0.000 0.000 4.965
Re Sn Rb Ta
2 1 1 1
direct
0.000 0.000 0.500
0.500 0.000 0.000
0.000 0.000 0.000
0.000 0.500 0.000
0.500 0.500 0.500



(4)
RbTaReSn2, relaxed, DFT PBE; calculated formation energy = 3.379 eV/atom; energy = -16.38 eV/cell
1.0
5.380 0.000 0.000
0.000 4.890 0.000
0.000 0.000 5.380
Sn Rb Ta Re
2 1 1 1
direct
0.500 0.000 0.000
0.000 0.000 0.500
0.000 0.000 0.000
0.000 0.500 0.000
0.500 0.500 0.500